A relaxed structure of ScTlOs. Source: Alexandria via LeMat-Bulk, functional PBE.

Cell: 4.567 4.567 4.567 Å, 60.00 60.00 60.00°
Sites, in units of the cell vectors:
Os  0.750  0.750  0.750
Sc  0.000  0.000  0.000
Tl  0.500  0.500  0.500

Computed properties:
As for the formation enthalpy at 0 K: 0.812 eV per formula unit. As for the energy above the most stable polymorph in this dataset: 24.77 kJ per mole of atoms. The space-group type is No. 216.



A relaxed structure of Sc2TlOs. Source: Alexandria via LeMat-Bulk, functional PBE.

Cell: 6.057 6.057 6.057 Å, 148.43 134.25 56.64°
Sites, in units of the cell vectors:
Tl  0.463  0.463  0.000
Sc  0.750  0.250  0.500
Sc  0.045  0.045  0.000
Os  0.242  0.742  0.500

Computed properties:
As for the formation enthalpy at 0 K: -0.495 eV per formula unit. The space-group type is No. 44.



A relaxed structure of Sc2TlOs. Source: Alexandria via LeMat-Bulk, functional PBE.

Cell: 4.738 3.447 4.738 Å, 90.00 90.00 90.00°
Sites, in units of the cell vectors:
Os  0.500  0.625  0.875
Sc  0.500  0.125  0.375
Sc  0.000  0.125  0.875
Tl  0.000  0.625  0.375

Computed properties:
As for the formation enthalpy at 0 K: -0.947 eV per formula unit. The space-group type is No. 123.



A relaxed structure of ScTlOs. Source: Alexandria via LeMat-Bulk, functional PBE.

Cell: 5.345 5.345 3.452 Å, 71.16 71.17 37.68°
Sites, in units of the cell vectors:
Os  0.987  0.987  0.013
Tl  0.662  0.662  0.338
Sc  0.350  0.350  0.650

Computed properties:
As for the formation enthalpy at 0 K: 0.042 eV per formula unit. As for the energy above the most stable polymorph in this dataset: 0.00 kJ per mole of atoms. The space-group type is No. 107.